(1)
Density functional theory data (PBEsol) for a relaxed CaMnFe crystal.

## Properties
* SG: P-6m2
* size of the total moment: 1.895 μB/atom
* Fermi-level density of states: 2.2 states/eV per cell
* energy of formation: 0.74 eV/atom

CIF file:
```
data_CaMnFe
_cell_length_a 4.499
_cell_length_b 4.499
_cell_length_c 2.966
_cell_angle_alpha 90.00
_cell_angle_beta 90.00
_cell_angle_gamma 120.00
_space_group_name_H-M_alt 'P 1'
_space_group_IT_number 1
_space_group_name_Hall 'P 1'
loop_
_atom_site_label
_atom_site_type_symbol
_atom_site_fract_x
_atom_site_fract_y
_atom_site_fract_z
_atom_site_occupancy
Ca1 Ca 0.000 0.000 0.000 1
Mn1 Mn 0.333 0.667 0.500 1
Fe1 Fe 0.667 0.333 0.500 1
```


(2)
Density functional theory data (PBEsol) for a relaxed Ca2MnFe crystal.

## Properties
* SG: I4/mmm
* size of the total moment: 1.483 μB/atom
* Fermi-level density of states: 7.2 states/eV per cell
* polymorph energy (0 for the lowest one): 0.319 eV per atom
* energy of formation: 0.76 eV/atom

CIF file:
```
data_Ca2MnFe
_cell_length_a 5.130
_cell_length_b 5.130
_cell_length_c 5.130
_cell_angle_alpha 125.03
_cell_angle_beta 125.03
_cell_angle_gamma 81.48
_space_group_name_H-M_alt 'P 1'
_space_group_IT_number 1
_space_group_name_Hall 'P 1'
loop_
_atom_site_label
_atom_site_type_symbol
_atom_site_fract_x
_atom_site_fract_y
_atom_site_fract_z
_atom_site_occupancy
Ca1 Ca 0.250 0.750 0.500 1
Ca2 Ca 0.750 0.250 0.500 1
Mn1 Mn 0.000 0.000 0.000 1
Fe1 Fe 0.500 0.500 0.000 1
```


(3)
Density functional theory data (PBEsol) for a relaxed Ca2MnFe crystal.

## Properties
* SG: P4mm
* size of the total moment: 1.054 μB/atom
* Fermi-level density of states: 4.4 states/eV per cell
* polymorph energy (0 for the lowest one): 0.000 eV per atom
* energy of formation: 0.44 eV/atom

CIF file:
```
data_Ca2MnFe
_cell_length_a 3.241
_cell_length_b 3.241
_cell_length_c 8.198
_cell_angle_alpha 90.00
_cell_angle_beta 90.00
_cell_angle_gamma 90.00
_space_group_name_H-M_alt 'P 1'
_space_group_IT_number 1
_space_group_name_Hall 'P 1'
loop_
_atom_site_label
_atom_site_type_symbol
_atom_site_fract_x
_atom_site_fract_y
_atom_site_fract_z
_atom_site_occupancy
Ca1 Ca 0.000 0.000 0.000 1
Ca2 Ca 0.500 0.500 0.400 1
Mn1 Mn 0.000 0.000 0.653 1
Fe1 Fe 0.500 0.500 0.751 1
```


(4)
Density functional theory data (PBEsol) for a relaxed Ca2MnFe crystal.

## Properties
* SG: P4/mmm
* size of the total moment: 1.480 μB/atom
* Fermi-level density of states: 7.5 states/eV per cell
* polymorph energy (0 for the lowest one): 0.322 eV per atom
* energy of formation: 0.76 eV/atom

CIF file:
```
data_Ca2MnFe
_cell_length_a 4.763
_cell_length_b 4.763
_cell_length_c 3.840
_cell_angle_alpha 90.00
_cell_angle_beta 90.00
_cell_angle_gamma 90.00
_space_group_name_H-M_alt 'P 1'
_space_group_IT_number 1
_space_group_name_Hall 'P 1'
loop_
_atom_site_label
_atom_site_type_symbol
_atom_site_fract_x
_atom_site_fract_y
_atom_site_fract_z
_atom_site_occupancy
Ca1 Ca 0.000 0.500 0.000 1
Ca2 Ca 0.500 0.000 0.000 1
Mn1 Mn 0.000 0.000 0.500 1
Fe1 Fe 0.500 0.500 0.500 1
```


(5)
Density functional theory data (PBEsol) for a relaxed Ca2FeMo crystal.

## Properties
* SG: C2/m
* size of the total moment: 0.566 μB/atom
* Fermi-level density of states: 4.7 states/eV per cell
* energy of formation: 0.95 eV/atom

CIF file:
```
data_Ca2FeMo
_cell_length_a 5.601
_cell_length_b 5.601
_cell_length_c 2.818
_cell_angle_alpha 90.14
_cell_angle_beta 90.14
_cell_angle_gamma 117.74
_space_group_name_H-M_alt 'P 1'
_space_group_IT_number 1
_space_group_name_Hall 'P 1'
loop_
_atom_site_label
_atom_site_type_symbol
_atom_site_fract_x
_atom_site_fract_y
_atom_site_fract_z
_atom_site_occupancy
Ca1 Ca 0.000 0.500 0.000 1
Ca2 Ca 0.500 0.000 0.000 1
Fe1 Fe 0.000 0.000 0.500 1
Mo1 Mo 0.500 0.500 0.500 1
```


(6)
Density functional theory data (PBEsol) for a relaxed CaFe2Mo crystal.

## Properties
* SG: P4/mmm
* size of the total moment: 0.001 μB/atom
* Fermi-level density of states: 2.8 states/eV per cell
* energy of formation: 0.68 eV/atom

CIF file:
```
data_CaFe2Mo
_cell_length_a 4.383
_cell_length_b 4.383
_cell_length_c 2.938
_cell_angle_alpha 90.00
_cell_angle_beta 90.00
_cell_angle_gamma 90.00
_space_group_name_H-M_alt 'P 1'
_space_group_IT_number 1
_space_group_name_Hall 'P 1'
loop_
_atom_site_label
_atom_site_type_symbol
_atom_site_fract_x
_atom_site_fract_y
_atom_site_fract_z
_atom_site_occupancy
Ca1 Ca 0.000 0.000 0.000 1
Fe1 Fe 0.000 0.500 0.500 1
Fe2 Fe 0.500 0.000 0.500 1
Mo1 Mo 0.500 0.500 0.000 1
```


(7)
Density functional theory data (PBEsol) for a relaxed Ca6FeN5 crystal.

## Properties
* SG: P6_3/mcm
* size of the total moment: 0.254 μB/atom
* Fermi-level density of states: 6.8 states/eV per cell
* formation energy without anion corrections: -896.5 meV per atom

CIF file:
```
data_Ca6FeN5
_cell_length_a 6.169
_cell_length_b 6.169
_cell_length_c 12.099
_cell_angle_alpha 90.00
_cell_angle_beta 90.00
_cell_angle_gamma 120.00
_space_group_name_H-M_alt 'P 1'
_space_group_IT_number 1
_space_group_name_Hall 'P 1'
loop_
_atom_site_label
_atom_site_type_symbol
_atom_site_fract_x
_atom_site_fract_y
_atom_site_fract_z
_atom_site_occupancy
Ca1 Ca 0.000 0.396 0.121 1
Ca2 Ca 0.000 0.396 0.379 1
Ca3 Ca 0.000 0.604 0.621 1
Ca4 Ca 0.000 0.604 0.879 1
Ca5 Ca 0.396 0.000 0.121 1
Ca6 Ca 0.396 0.000 0.379 1
Ca7 Ca 0.396 0.396 0.621 1
Ca8 Ca 0.396 0.396 0.879 1
Ca9 Ca 0.604 0.000 0.621 1
Ca10 Ca 0.604 0.000 0.879 1
Ca11 Ca 0.604 0.604 0.121 1
Ca12 Ca 0.604 0.604 0.379 1
Fe1 Fe 0.000 0.000 0.250 1
Fe2 Fe 0.000 0.000 0.750 1
N1 N 0.000 0.287 0.750 1
N2 N 0.000 0.713 0.250 1
N3 N 0.287 0.000 0.750 1
N4 N 0.287 0.287 0.250 1
N5 N 0.333 0.667 0.000 1
N6 N 0.333 0.667 0.500 1
N7 N 0.667 0.333 0.000 1
N8 N 0.667 0.333 0.500 1
N9 N 0.713 0.000 0.250 1
N10 N 0.713 0.713 0.750 1
```


(8)
Density functional theory data (PBEsol) for a relaxed Ca3Fe3N5 crystal.

## Properties
* SG: P-1
* size of the total moment: 0.000 μB/atom
* Fermi-level density of states: 10.3 states/eV per cell
* formation energy without anion corrections: -730.5 meV per atom

CIF file:
```
data_Ca3Fe3N5
_cell_length_a 5.386
_cell_length_b 6.690
_cell_length_c 8.205
_cell_angle_alpha 108.78
_cell_angle_beta 103.82
_cell_angle_gamma 95.07
_space_group_name_H-M_alt 'P 1'
_space_group_IT_number 1
_space_group_name_Hall 'P 1'
loop_
_atom_site_label
_atom_site_type_symbol
_atom_site_fract_x
_atom_site_fract_y
_atom_site_fract_z
_atom_site_occupancy
Ca1 Ca 0.160 0.170 0.203 1
Ca2 Ca 0.163 0.366 0.876 1
Ca3 Ca 0.319 0.918 0.616 1
Ca4 Ca 0.681 0.082 0.384 1
Ca5 Ca 0.837 0.634 0.124 1
Ca6 Ca 0.840 0.830 0.797 1
Fe1 Fe 0.182 0.450 0.567 1
Fe2 Fe 0.398 0.614 0.295 1
Fe3 Fe 0.407 0.822 0.974 1
Fe4 Fe 0.593 0.178 0.026 1
Fe5 Fe 0.602 0.386 0.705 1
Fe6 Fe 0.818 0.550 0.433 1
N1 N 0.135 0.562 0.385 1
N2 N 0.248 0.036 0.911 1
N3 N 0.312 0.727 0.127 1
N4 N 0.321 0.204 0.511 1
N5 N 0.429 0.616 0.777 1
N6 N 0.571 0.384 0.223 1
N7 N 0.679 0.796 0.489 1
N8 N 0.688 0.273 0.873 1
N9 N 0.752 0.964 0.089 1
N10 N 0.865 0.438 0.615 1
```


(9)
Density functional theory data (PBEsol) for a relaxed Ca3FeN3 crystal.

## Properties
* SG: P6_3/m
* size of the total moment: 0.306 μB/atom
* Fermi-level density of states: 4.4 states/eV per cell
* formation energy without anion corrections: -893.7 meV per atom

CIF file:
```
data_Ca3FeN3
_cell_length_a 7.107
_cell_length_b 7.107
_cell_length_c 4.923
_cell_angle_alpha 90.00
_cell_angle_beta 90.00
_cell_angle_gamma 120.00
_space_group_name_H-M_alt 'P 1'
_space_group_IT_number 1
_space_group_name_Hall 'P 1'
loop_
_atom_site_label
_atom_site_type_symbol
_atom_site_fract_x
_atom_site_fract_y
_atom_site_fract_z
_atom_site_occupancy
Ca1 Ca 0.086 0.360 0.250 1
Ca2 Ca 0.274 0.914 0.250 1
Ca3 Ca 0.360 0.274 0.750 1
Ca4 Ca 0.640 0.726 0.250 1
Ca5 Ca 0.726 0.086 0.750 1
Ca6 Ca 0.914 0.640 0.750 1
Fe1 Fe 0.333 0.667 0.750 1
Fe2 Fe 0.667 0.333 0.250 1
N1 N 0.104 0.411 0.750 1
N2 N 0.307 0.896 0.750 1
N3 N 0.411 0.307 0.250 1
N4 N 0.589 0.693 0.750 1
N5 N 0.693 0.104 0.250 1
N6 N 0.896 0.589 0.250 1
```


(10)
Density functional theory data (PBEsol) for a relaxed Ca11Fe2N10 crystal.

## Properties
* SG: Cm
* size of the total moment: 0.173 μB/atom
* formation energy without anion corrections: -852.3 meV per atom

CIF file:
```
data_Ca11Fe2N10
_cell_length_a 6.014
_cell_length_b 6.014
_cell_length_c 12.234
_cell_angle_alpha 92.23
_cell_angle_beta 92.23
_cell_angle_gamma 117.41
_space_group_name_H-M_alt 'P 1'
_space_group_IT_number 1
_space_group_name_Hall 'P 1'
loop_
_atom_site_label
_atom_site_type_symbol
_atom_site_fract_x
_atom_site_fract_y
_atom_site_fract_z
_atom_site_occupancy
Ca1 Ca 0.000 0.000 0.000 1
Ca2 Ca 0.168 0.761 0.245 1
Ca3 Ca 0.210 0.814 0.500 1
Ca4 Ca 0.369 0.982 0.760 1
Ca5 Ca 0.403 0.786 0.992 1
Ca6 Ca 0.554 0.554 0.378 1
Ca7 Ca 0.761 0.168 0.245 1
Ca8 Ca 0.767 0.767 0.744 1
Ca9 Ca 0.786 0.403 0.992 1
Ca10 Ca 0.814 0.210 0.500 1
Ca11 Ca 0.982 0.369 0.760 1
Fe1 Fe 0.350 0.350 0.621 1
Fe2 Fe 0.411 0.411 0.131 1
N1 N 0.051 0.718 0.876 1
N2 N 0.079 0.079 0.632 1
N3 N 0.129 0.416 0.112 1
N4 N 0.341 0.626 0.646 1
N5 N 0.416 0.129 0.112 1
N6 N 0.519 0.918 0.375 1
N7 N 0.626 0.341 0.646 1
N8 N 0.680 0.680 0.111 1
N9 N 0.718 0.051 0.876 1
N10 N 0.918 0.519 0.375 1
```


Look up the size of the total moment of the eighth one. 0.000 μB/atom


Look up the size of the total moment of the tenth one. 0.173 μB/atom